1.
A plane-wave DFT calculation with GGA-PBE was carried out for a relaxed structure of NdY6Tm12.

Its electronic total energy is -4.921 eV per atom. The space group is No. 148. The calculation puts the energy of formation from the pure elements at 0.195 eV per atom.

```
data_NdY6Tm12
_chemical_formula_sum 'Nd1 Y6 Tm12'
_space_group_name_H-M_alt 'P 1'
_space_group_IT_number 1
_space_group_name_Hall 'P 1'
_cell_length_a 8.4816
_cell_length_b 8.4816
_cell_length_c 8.4816
_cell_angle_alpha 92.31
_cell_angle_beta 92.31
_cell_angle_gamma 92.31
loop_
_atom_site_label
_atom_site_fract_x
_atom_site_fract_y
_atom_site_fract_z
Nd1 0.0000 0.0000 0.0000
Y1 0.7227 0.8760 0.2611
Y2 0.7389 0.2773 0.1240
Y3 0.1240 0.7389 0.2773
Y4 0.2773 0.1240 0.7389
Y5 0.2611 0.7227 0.8760
Y6 0.8760 0.2611 0.7227
Tm1 0.7894 0.5280 0.4668
Tm2 0.4668 0.7894 0.5280
Tm3 0.5280 0.4668 0.7894
Tm4 0.2106 0.4720 0.5332
Tm5 0.5332 0.2106 0.4720
Tm6 0.4720 0.5332 0.2106
Tm7 0.0629 0.1442 0.3770
Tm8 0.8558 0.6230 0.9371
Tm9 0.6230 0.9371 0.8558
Tm10 0.9371 0.8558 0.6230
Tm11 0.1442 0.3770 0.0629
Tm12 0.3770 0.0629 0.1442
```

=====

2.
A plane-wave DFT calculation with GGA-PBE was carried out for a relaxed structure of Sm3SBr7.

The value obtained for the formation energy (no corrections) is -1.880 eV per atom. Its electronic total energy is -4.606 eV per atom. The space group is No. 156.

```
data_Sm3SBr7
_chemical_formula_sum 'Sm3 S1 Br7'
_space_group_name_H-M_alt 'P 1'
_space_group_IT_number 1
_space_group_name_Hall 'P 1'
_cell_length_a 6.9674
_cell_length_b 8.4845
_cell_length_c 8.4845
_cell_angle_alpha 120.00
_cell_angle_beta 90.00
_cell_angle_gamma 90.00
loop_
_atom_site_label
_atom_site_fract_x
_atom_site_fract_y
_atom_site_fract_z
Sm1 0.7736 0.4932 0.5068
Sm2 0.7736 0.4932 0.9864
Sm3 0.7736 0.0136 0.5068
S1 0.5819 0.3333 0.6667
Br1 0.0108 0.1718 0.8282
Br2 0.0108 0.1718 0.3436
Br3 0.0139 0.6667 0.3333
Br4 0.5554 0.8259 0.1741
Br5 0.5554 0.3483 0.1741
Br6 0.5554 0.8259 0.6517
Br7 0.0108 0.6564 0.8282
```

=====

Copy entry 2 word for word.
A plane-wave DFT calculation with GGA-PBE was carried out for a relaxed structure of Sm3SBr7.

The value obtained for the formation energy (no corrections) is -1.880 eV per atom. Its electronic total energy is -4.606 eV per atom. The space group is No. 156.

```
data_Sm3SBr7
_chemical_formula_sum 'Sm3 S1 Br7'
_space_group_name_H-M_alt 'P 1'
_space_group_IT_number 1
_space_group_name_Hall 'P 1'
_cell_length_a 6.9674
_cell_length_b 8.4845
_cell_length_c 8.4845
_cell_angle_alpha 120.00
_cell_angle_beta 90.00
_cell_angle_gamma 90.00
loop_
_atom_site_label
_atom_site_fract_x
_atom_site_fract_y
_atom_site_fract_z
Sm1 0.7736 0.4932 0.5068
Sm2 0.7736 0.4932 0.9864
Sm3 0.7736 0.0136 0.5068
S1 0.5819 0.3333 0.6667
Br1 0.0108 0.1718 0.8282
Br2 0.0108 0.1718 0.3436
Br3 0.0139 0.6667 0.3333
Br4 0.5554 0.8259 0.1741
Br5 0.5554 0.3483 0.1741
Br6 0.5554 0.8259 0.6517
Br7 0.0108 0.6564 0.8282
```

=====

Q: Which value of electronic total energy does entry 2 give?
A: -4.606 eV per atom

=====

Q: Which of these has the highest electronic total energy?
A: Sm3SBr7